## Pm3CdPd8 (PBE-GGA)

Data for crystalline Pm3CdPd8 at its relaxed geometry.

Calculated values
**Final energy**: -5.4476 eV/atom
**E_form**: -722 meV per atom
**Space group**: R3m, No. 160

Cell lengths 9.482, 9.482, 9.482 Å; angles 33.47, 33.47, 33.47 degrees
Positions (direct):
Pm 0.000 0.000 0.000
Pm 0.129 0.129 0.129
Pm 0.614 0.614 0.614
Cd 0.493 0.493 0.493
Pd 0.059 0.059 0.563
Pd 0.059 0.560 0.560
Pd 0.059 0.563 0.059
Pd 0.310 0.310 0.310
Pd 0.560 0.059 0.560
Pd 0.560 0.560 0.059
Pd 0.563 0.059 0.059
Pd 0.810 0.810 0.810

---

## PmCd2Pd9 (PBE-GGA)

Data for crystalline PmCd2Pd9 at its relaxed geometry.

Calculated values
**Final energy**: -4.8534 eV/atom
**E_form**: -410 meV per atom
**Space group**: P4/mmm, No. 123

Cell lengths 4.093, 4.093, 12.211 Å; angles 90.00, 90.00, 90.00 degrees
Positions (direct):
Pm 0.000 0.000 0.000
Cd 0.000 0.000 0.339
Cd 0.000 0.000 0.661
Pd 0.000 0.500 0.175
Pd 0.000 0.500 0.500
Pd 0.000 0.500 0.825
Pd 0.500 0.000 0.175
Pd 0.500 0.000 0.500
Pd 0.500 0.000 0.825
Pd 0.500 0.500 0.000
Pd 0.500 0.500 0.336
Pd 0.500 0.500 0.664

---

## PmCd6Pd2 (PBE-GGA)

Data for crystalline PmCd6Pd2 at its relaxed geometry.

Calculated values
**Final energy**: -2.4239 eV/atom
**E_form**: -132 meV per atom
**Space group**: C2/m, No. 12

Cell lengths 7.733, 7.733, 5.028 Å; angles 108.89, 108.89, 45.77 degrees
Positions (direct):
Pm 0.000 0.000 0.000
Cd 0.044 0.544 0.294
Cd 0.279 0.721 0.500
Cd 0.456 0.956 0.706
Cd 0.544 0.044 0.294
Cd 0.721 0.279 0.500
Cd 0.956 0.456 0.706
Pd 0.393 0.393 0.892
Pd 0.607 0.607 0.108

---

## PmCdPd3 (PBE-GGA)

Data for crystalline PmCdPd3 at its relaxed geometry.

Calculated values
**Final energy**: -4.7022 eV/atom
**E_form**: -453 meV per atom
**Space group**: P6_3/mmc, No. 194

Cell lengths 6.572, 6.572, 5.618 Å; angles 90.00, 90.00, 120.00 degrees
Positions (direct):
Pm 0.333 0.667 0.250
Pm 0.667 0.333 0.750
Cd 0.000 0.000 0.000
Cd 0.000 0.000 0.500
Pd 0.200 0.400 0.750
Pd 0.200 0.800 0.750
Pd 0.400 0.200 0.250
Pd 0.600 0.800 0.750
Pd 0.800 0.200 0.250
Pd 0.800 0.600 0.250

---

## Pm4CdPd (PBE-GGA)

Data for crystalline Pm4CdPd at its relaxed geometry.

Calculated values
**Offset from the most stable computed form**: 0.0 meV/atom
**Final energy**: -4.5918 eV/atom
**E_form**: -407 meV per atom
**Space group**: F-43m, No. 216

Cell lengths 9.943, 9.943, 9.943 Å; angles 60.00, 60.00, 60.00 degrees
Positions (direct):
Pm 0.058 0.058 0.442
Pm 0.058 0.442 0.058
Pm 0.058 0.442 0.442
Pm 0.185 0.185 0.815
Pm 0.185 0.815 0.185
Pm 0.185 0.815 0.815
Pm 0.193 0.602 0.602
Pm 0.442 0.058 0.058
Pm 0.442 0.058 0.442
Pm 0.442 0.442 0.058
Pm 0.602 0.193 0.602
Pm 0.602 0.602 0.193
Pm 0.602 0.602 0.602
Pm 0.815 0.185 0.185
Pm 0.815 0.185 0.815
Pm 0.815 0.815 0.185
Cd 0.507 0.831 0.831
Cd 0.831 0.507 0.831
Cd 0.831 0.831 0.507
Cd 0.831 0.831 0.831
Pd 0.394 0.394 0.394
Pd 0.394 0.394 0.818
Pd 0.394 0.818 0.394
Pd 0.818 0.394 0.394

---

## PmCd2Pd2 (PBE-GGA)

Data for crystalline PmCd2Pd2 at its relaxed geometry.

Calculated values
**Offset from the most stable computed form**: 0.0 meV/atom
**Final energy**: -3.9335 eV/atom
**E_form**: -540 meV per atom
**Space group**: C2/m, No. 12

Cell lengths 4.883, 4.883, 5.328 Å; angles 107.56, 107.56, 61.74 degrees
Positions (direct):
Pm 0.000 0.000 0.000
Cd 0.251 0.251 0.655
Cd 0.749 0.749 0.345
Pd 0.390 0.390 0.227
Pd 0.610 0.610 0.773

---

## PmCd5Pd2 (PBE-GGA)

Data for crystalline PmCd5Pd2 at its relaxed geometry.

Calculated values
**Final energy**: -2.8266 eV/atom
**E_form**: -363 meV per atom
**Space group**: Immm, No. 71

Cell lengths 6.967, 6.967, 6.967 Å; angles 146.37, 103.53, 86.18 degrees
Positions (direct):
Pm 0.000 0.000 0.000
Cd 0.158 0.349 0.809
Cd 0.460 0.651 0.809
Cd 0.500 0.000 0.500
Cd 0.540 0.349 0.191
Cd 0.842 0.651 0.191
Pd 0.222 0.722 0.500
Pd 0.778 0.278 0.500

---

## PmCd8Pd4 (PBE-GGA)

Data for crystalline PmCd8Pd4 at its relaxed geometry.

Calculated values
**Final energy**: -2.8863 eV/atom
**E_form**: -360 meV per atom
**Space group**: I4/mmm, No. 139

Cell lengths 7.371, 7.371, 7.371 Å; angles 98.66, 98.66, 134.33 degrees
Positions (direct):
Pm 0.000 0.000 0.000
Cd 0.000 0.339 0.339
Cd 0.000 0.661 0.661
Cd 0.282 0.500 0.782
Cd 0.339 0.000 0.339
Cd 0.500 0.282 0.782
Cd 0.500 0.718 0.218
Cd 0.661 0.000 0.661
Cd 0.718 0.500 0.218
Pd 0.000 0.000 0.500
Pd 0.000 0.500 0.000
Pd 0.500 0.000 0.000
Pd 0.500 0.500 0.500

---

Q: The lowest E_form belongs to which entry?
A: Pm3CdPd8